Entry 1:
# TlHgB2Br PBE optimized geometry
data_TlHgB2Br
_chemical_formula_sum 'Tl1 Hg1 B2 Br1'
_space_group_name_H-M_alt 'P 4/m m m'
_space_group_IT_number 123
_space_group_name_Hall '-P 4 2'
_cell_length_a 4.4796
_cell_length_b 4.4796
_cell_length_c 6.3158
_cell_angle_alpha 90.00
_cell_angle_beta 90.00
_cell_angle_gamma 90.00
loop_
_atom_site_label
_atom_site_type_symbol
_atom_site_fract_x
_atom_site_fract_y
_atom_site_fract_z
_atom_site_occupancy
Tl1 Tl 0.0000 0.0000 0.0000 1
Hg1 Hg 0.5000 0.5000 0.0000 1
B1 B 0.0000 0.5000 0.5000 1
Br1 Br 0.5000 0.5000 0.5000 1
# formation energy from raw total energies: 1.75 eV/atom
# uncorrected energy: -1.79 eV/atom
# mass density: 6.64 g/cm3

=====

Entry 2:
# KRbZnCd2 PBE optimized geometry
data_KRbZnCd2
_chemical_formula_sum 'K1 Rb1 Zn1 Cd2'
_space_group_name_H-M_alt 'P 4/m m m'
_space_group_IT_number 123
_space_group_name_Hall '-P 4 2'
_cell_length_a 5.3741
_cell_length_b 5.3741
_cell_length_c 6.2583
_cell_angle_alpha 90.00
_cell_angle_beta 90.00
_cell_angle_gamma 90.00
loop_
_atom_site_label
_atom_site_type_symbol
_atom_site_fract_x
_atom_site_fract_y
_atom_site_fract_z
_atom_site_occupancy
K1 K 0.0000 0.0000 0.0000 1
Rb1 Rb 0.5000 0.5000 0.0000 1
Zn1 Zn 0.0000 0.0000 0.5000 1
Cd1 Cd 0.0000 0.5000 0.5000 1
# uncorrected energy: -0.94 eV/atom
# excess energy over the best structure of this formula in the dataset: 0.0 meV per atom
# mass density: 3.81 g/cm3

=====

Entry 3:
# Y16Er6Tm7 PBE optimized geometry
data_Y16Er6Tm7
_chemical_formula_sum 'Y64 Er24 Tm28'
_space_group_name_H-M_alt 'F m -3 m'
_space_group_IT_number 225
_space_group_name_Hall '-F 4 2 3'
_cell_length_a 15.6656
_cell_length_b 15.6656
_cell_length_c 15.6656
_cell_angle_alpha 90.00
_cell_angle_beta 90.00
_cell_angle_gamma 90.00
loop_
_atom_site_label
_atom_site_type_symbol
_atom_site_fract_x
_atom_site_fract_y
_atom_site_fract_z
_atom_site_occupancy
Y1 Y 0.1214 0.1214 0.1214 1
Y2 Y 0.1516 0.1516 0.3484 1
Er1 Er 0.0000 0.0000 0.2764 1
Tm1 Tm 0.0000 0.0000 0.0000 1
Tm2 Tm 0.0000 0.2500 0.2500 1
# uncorrected energy: -5.34 eV/atom
# mass density: 6.23 g/cm3

=====

Entry 4:
# Ba14LiY7Cu20O42 PBE optimized geometry
data_Ba14LiY7Cu20O42
_chemical_formula_sum 'Ba14 Li1 Y7 Cu20 O42'
_space_group_name_H-M_alt 'P 1'
_space_group_IT_number 1
_space_group_name_Hall 'P 1'
_cell_length_a 8.6840
_cell_length_b 12.2658
_cell_length_c 12.7518
_cell_angle_alpha 95.54
_cell_angle_beta 105.82
_cell_angle_gamma 98.08
loop_
_atom_site_label
_atom_site_type_symbol
_atom_site_fract_x
_atom_site_fract_y
_atom_site_fract_z
_atom_site_occupancy
Ba1 Ba 0.0000 0.0000 0.0000 1
Ba2 Ba 0.0232 0.3415 0.3933 1
Ba3 Ba 0.1421 0.7153 0.0016 1
Ba4 Ba 0.1653 0.0571 0.3946 1
Ba5 Ba 0.2837 0.4288 0.0013 1
Ba6 Ba 0.3097 0.7707 0.3955 1
Ba7 Ba 0.4245 0.1436 0.0000 1
Ba8 Ba 0.4526 0.4853 0.3943 1
Ba9 Ba 0.5691 0.8565 0.0001 1
Ba10 Ba 0.5973 0.1997 0.3945 1
Ba11 Ba 0.7130 0.5720 0.0017 1
Ba12 Ba 0.7400 0.9144 0.3945 1
Ba13 Ba 0.8553 0.2872 0.9997 1
Ba14 Ba 0.8813 0.6282 0.3945 1
Li1 Li 0.6528 0.0519 0.8612 1
Y1 Y 0.0122 0.6715 0.6973 1
Y2 Y 0.1531 0.3858 0.6970 1
Y3 Y 0.3049 0.0987 0.7011 1
Y4 Y 0.4453 0.8196 0.7014 1
Y5 Y 0.5825 0.5285 0.6972 1
Y6 Y 0.7230 0.2386 0.7011 1
Y7 Y 0.8637 0.9591 0.7011 1
Cu1 Cu 0.0654 0.1900 0.8262 1
Cu2 Cu 0.0823 0.5285 0.1976 1
Cu3 Cu 0.0978 0.8674 0.5670 1
Cu4 Cu 0.2103 0.9040 0.8264 1
Cu5 Cu 0.2265 0.2433 0.1990 1
Cu6 Cu 0.2410 0.5817 0.5660 1
Cu7 Cu 0.3541 0.6183 0.8297 1
Cu8 Cu 0.3693 0.9576 0.2000 1
Cu9 Cu 0.3832 0.2950 0.5652 1
Cu10 Cu 0.4948 0.3329 0.8273 1
Cu11 Cu 0.5118 0.6717 0.1982 1
Cu12 Cu 0.5240 0.0089 0.5605 1
Cu13 Cu 0.6539 0.3862 0.1984 1
Cu14 Cu 0.6692 0.7244 0.5657 1
Cu15 Cu 0.7818 0.7613 0.8275 1
Cu16 Cu 0.7924 0.0989 0.1872 1
Cu17 Cu 0.8116 0.4377 0.5661 1
Cu18 Cu 0.9244 0.4767 0.8293 1
Cu19 Cu 0.9405 0.8140 0.1981 1
Cu20 Cu 0.9568 0.1526 0.5690 1
O1 O 0.0039 0.8355 0.3470 1
O2 O 0.0194 0.5084 0.0487 1
O3 O 0.0312 0.5114 0.5776 1
O4 O 0.0321 0.0119 0.5796 1
O5 O 0.1336 0.5455 0.8163 1
O6 O 0.1348 0.0460 0.8194 1
O7 O 0.1461 0.5490 0.3466 1
O8 O 0.1613 0.2223 0.0504 1
O9 O 0.1743 0.2259 0.5778 1
O10 O 0.1746 0.7263 0.5792 1
O11 O 0.2731 0.2596 0.8179 1
O12 O 0.2780 0.7589 0.8180 1
O13 O 0.2910 0.2642 0.3480 1
O14 O 0.3069 0.9361 0.0514 1
O15 O 0.3170 0.4400 0.5779 1
O16 O 0.3171 0.9398 0.5771 1
O17 O 0.4151 0.9725 0.8158 1
O18 O 0.4196 0.4728 0.8158 1
O19 O 0.4326 0.9790 0.3492 1
O20 O 0.4471 0.6493 0.0493 1
O21 O 0.4602 0.1536 0.5780 1
O22 O 0.4609 0.6544 0.5791 1
O23 O 0.5599 0.1917 0.8162 1
O24 O 0.5629 0.6879 0.8192 1
O25 O 0.5757 0.6935 0.3471 1
O26 O 0.5901 0.3650 0.0497 1
O27 O 0.6032 0.3689 0.5792 1
O28 O 0.6027 0.8692 0.5779 1
O29 O 0.7066 0.4040 0.8191 1
O30 O 0.7073 0.8993 0.8163 1
O31 O 0.7182 0.4073 0.3473 1
O32 O 0.7279 0.0771 0.0365 1
O33 O 0.7451 0.0827 0.5763 1
O34 O 0.7459 0.5829 0.5780 1
O35 O 0.8472 0.6181 0.8158 1
O36 O 0.8513 0.1184 0.8154 1
O37 O 0.8563 0.1200 0.3361 1
O38 O 0.8769 0.7928 0.0495 1
O39 O 0.8892 0.2966 0.5784 1
O40 O 0.8888 0.7971 0.5787 1
O41 O 0.9904 0.3327 0.8174 1
O42 O 0.9957 0.8321 0.8184 1
# formation energy from raw total energies: -1.91 eV/atom
# uncorrected energy: -6.25 eV/atom
# mass density: 5.83 g/cm3

=====

Entry 5:
# Li2LaMo PBE optimized geometry
data_Li2LaMo
_chemical_formula_sum 'Li4 La2 Mo2'
_space_group_name_H-M_alt 'C m m m'
_space_group_IT_number 65
_space_group_name_Hall '-C 2 2'
_cell_length_a 3.1317
_cell_length_b 4.8129
_cell_length_c 10.7894
_cell_angle_alpha 90.00
_cell_angle_beta 90.00
_cell_angle_gamma 90.00
loop_
_atom_site_label
_atom_site_type_symbol
_atom_site_fract_x
_atom_site_fract_y
_atom_site_fract_z
_atom_site_occupancy
Li1 Li 0.0000 0.0000 0.2160 1
La1 La 0.0000 0.5000 0.5000 1
Mo1 Mo 0.0000 0.5000 0.0000 1
# uncorrected energy: -4.32 eV/atom
# excess energy over the best structure of this formula in the dataset: 162.8 meV per atom
# mass density: 5.08 g/cm3

=====

Entry 6:
# CaBeCrBi2 PBE optimized geometry
data_CaBeCrBi2
_chemical_formula_sum 'Ca1 Be1 Cr1 Bi2'
_space_group_name_H-M_alt 'P 4/m m m'
_space_group_IT_number 123
_space_group_name_Hall '-P 4 2'
_cell_length_a 5.7056
_cell_length_b 5.7056
_cell_length_c 5.0020
_cell_angle_alpha 90.00
_cell_angle_beta 90.00
_cell_angle_gamma 90.00
loop_
_atom_site_label
_atom_site_type_symbol
_atom_site_fract_x
_atom_site_fract_y
_atom_site_fract_z
_atom_site_occupancy
Ca1 Ca 0.0000 0.0000 0.0000 1
Be1 Be 0.0000 0.0000 0.5000 1
Cr1 Cr 0.5000 0.5000 0.5000 1
Bi1 Bi 0.0000 0.5000 0.0000 1
# uncorrected energy: -2.82 eV/atom
# mass density: 5.29 g/cm3

=====

Entry 7:
# KTa2Si PBE optimized geometry
data_KTa2Si
_chemical_formula_sum 'K2 Ta4 Si2'
_space_group_name_H-M_alt 'C m m m'
_space_group_IT_number 65
_space_group_name_Hall '-C 2 2'
_cell_length_a 3.7577
_cell_length_b 4.6233
_cell_length_c 9.9371
_cell_angle_alpha 90.00
_cell_angle_beta 90.00
_cell_angle_gamma 90.00
loop_
_atom_site_label
_atom_site_type_symbol
_atom_site_fract_x
_atom_site_fract_y
_atom_site_fract_z
_atom_site_occupancy
K1 K 0.0000 0.0000 0.0000 1
Ta1 Ta 0.0000 0.5000 0.3283 1
Si1 Si 0.0000 0.0000 0.5000 1
# formation energy from raw total energies: 0.52 eV/atom
# uncorrected energy: -7.04 eV/atom
# mass density: 8.25 g/cm3

=====

Entry 8:
# Tc2IrRu PBE optimized geometry
data_Tc2IrRu
_chemical_formula_sum 'Tc8 Ir4 Ru4'
_space_group_name_H-M_alt 'F m -3 m'
_space_group_IT_number 225
_space_group_name_Hall '-F 4 2 3'
_cell_length_a 6.1820
_cell_length_b 6.1820
_cell_length_c 6.1820
_cell_angle_alpha 90.00
_cell_angle_beta 90.00
_cell_angle_gamma 90.00
loop_
_atom_site_label
_atom_site_type_symbol
_atom_site_fract_x
_atom_site_fract_y
_atom_site_fract_z
_atom_site_occupancy
Tc1 Tc 0.2500 0.2500 0.2500 1
Ir1 Ir 0.0000 0.0000 0.0000 1
Ru1 Ru 0.0000 0.0000 0.5000 1
# uncorrected energy: -9.25 eV/atom
# excess energy over the best structure of this formula in the dataset: 669.6 meV per atom
# mass density: 13.76 g/cm3